#P
{
  "formula": "K3ScZn",
  "functional": "PBE",
  "state": "optimized geometry",
  "lattice_angstrom": [[7.1565, 0.0000, 0.0000], [0.0000, 7.1565, 0.0000], [0.0000, 0.0000, 7.1565]],
  "species": ["K", "K", "K", "Sc", "Zn"],
  "fractional_positions": [[0.0000, 0.0000, 0.5000], [0.0000, 0.5000, 0.0000], [0.5000, 0.0000, 0.0000], [0.0000, 0.0000, 0.0000], [0.5000, 0.5000, 0.5000]],
  "rho_g_cm3": 1.03,
  "magnetic_moment_mub_per_fu": 3.5
}


#Q
{
  "formula": "K3ScZn",
  "functional": "PBE",
  "state": "optimized geometry",
  "lattice_angstrom": [[6.4122, 0.0000, 0.0000], [0.0000, 6.4122, 0.0000], [0.0000, 0.0000, 6.4122]],
  "species": ["K", "K", "K", "Sc", "Zn"],
  "fractional_positions": [[0.0000, 0.0000, 0.5000], [0.0000, 0.5000, 0.0000], [0.5000, 0.0000, 0.0000], [0.5000, 0.5000, 0.5000], [0.0000, 0.0000, 0.0000]],
  "rho_g_cm3": 1.43,
  "magnetic_moment_mub_per_fu": 1.2
}


#Q (23.3 kJ/mol of atoms below the next structure)


#P
{
  "formula": "KScZn3",
  "functional": "PBE",
  "state": "optimized geometry",
  "lattice_angstrom": [[5.3107, 0.0000, 0.0000], [0.0000, 5.3107, 0.0000], [0.0000, 0.0000, 5.3107]],
  "species": ["K", "Sc", "Zn", "Zn", "Zn"],
  "fractional_positions": [[0.0000, 0.0000, 0.0000], [0.5000, 0.5000, 0.5000], [0.0000, 0.0000, 0.5000], [0.0000, 0.5000, 0.0000], [0.5000, 0.0000, 0.0000]],
  "rho_g_cm3": 3.11,
  "magnetic_moment_mub_per_fu": 1.1
}


#Q
{
  "formula": "KScZn3",
  "functional": "PBE",
  "state": "optimized geometry",
  "lattice_angstrom": [[5.4349, 0.0000, 0.0000], [0.0000, 5.4349, 0.0000], [0.0000, 0.0000, 5.4349]],
  "species": ["K", "Sc", "Zn", "Zn", "Zn"],
  "fractional_positions": [[0.0000, 0.0000, 0.0000], [0.5000, 0.5000, 0.5000], [0.0000, 0.5000, 0.5000], [0.5000, 0.0000, 0.5000], [0.5000, 0.5000, 0.0000]],
  "rho_g_cm3": 2.90,
  "magnetic_moment_mub_per_fu": 0.0
}


#Q (62.7 kJ/mol of atoms below the next structure)


#P
{
  "formula": "K2ZrSc",
  "functional": "PBE",
  "state": "optimized geometry",
  "lattice_angstrom": [[4.5477, 0.0000, 0.0000], [0.0000, 4.5477, 0.0000], [0.0000, 0.0000, 6.7736]],
  "species": ["K", "K", "Zr", "Sc"],
  "fractional_positions": [[0.0000, 0.5000, 0.0000], [0.5000, 0.0000, 0.0000], [0.0000, 0.0000, 0.5000], [0.5000, 0.5000, 0.5000]],
  "rho_g_cm3": 2.54,
  "magnetic_moment_mub_per_fu": 2.5
}


#Q
{
  "formula": "K2ZrSc",
  "functional": "PBE",
  "state": "optimized geometry",
  "lattice_angstrom": [[1.6773, 0.9684, 13.7333], [-1.6773, 0.9684, 13.7333], [0.0000, -1.9367, 13.7333]],
  "species": ["K", "K", "Zr", "Sc"],
  "fractional_positions": [[0.2490, 0.2490, 0.2490], [0.7510, 0.7510, 0.7510], [0.5000, 0.5000, 0.5000], [0.0000, 0.0000, 0.0000]],
  "rho_g_cm3": 2.66,
  "magnetic_moment_mub_per_fu": 1.9
}


#Q (12.4 kJ/mol of atoms below the next structure)


#P
{
  "formula": "K2ZrSc",
  "functional": "PBE",
  "state": "optimized geometry",
  "lattice_angstrom": [[1.7498, 1.0102, 13.3995], [-1.7498, 1.0102, 13.3995], [0.0000, -2.0205, 13.3995]],
  "species": ["K", "K", "Zr", "Sc"],
  "fractional_positions": [[0.0000, 0.0000, 0.0000], [0.2303, 0.2303, 0.2303], [0.4787, 0.4787, 0.4787], [0.7543, 0.7543, 0.7543]],
  "rho_g_cm3": 2.50,
  "magnetic_moment_mub_per_fu": 0.0
}


#Q
{
  "formula": "K2ZrSc",
  "functional": "PBE",
  "state": "optimized geometry",
  "lattice_angstrom": [[5.2557, -1.6109, 0.0000], [5.2557, 1.6109, 0.0000], [-0.3844, 0.0000, 9.9762]],
  "species": ["K", "K", "Zr", "Sc"],
  "fractional_positions": [[0.0000, 0.0000, 0.0000], [0.2414, 0.2414, 0.6314], [0.7520, 0.7520, 0.2797], [0.4823, 0.4823, 0.3476]],
  "rho_g_cm3": 2.11,
  "magnetic_moment_mub_per_fu": 0.0
}


#R
{
  "formula": "K2ZrSc",
  "functional": "PBE",
  "state": "optimized geometry",
  "lattice_angstrom": [[-2.9448, 2.9448, 4.1804], [2.9448, -2.9448, 4.1804], [2.9448, 2.9448, -4.1804]],
  "species": ["K", "K", "Zr", "Sc"],
  "fractional_positions": [[0.0000, 0.0000, 0.0000], [0.7500, 0.2500, 0.5000], [0.5000, 0.5000, 0.0000], [0.2500, 0.7500, 0.5000]],
  "rho_g_cm3": 2.45,
  "magnetic_moment_mub_per_fu": 4.7
}


#S
{
  "formula": "K2ZrSc",
  "functional": "PBE",
  "state": "optimized geometry",
  "lattice_angstrom": [[-4.8826, 4.8826, 2.9808], [4.8826, -4.8826, 2.9808], [4.8826, 4.8826, -2.9808]],
  "species": ["K", "K", "K", "K", "Zr", "Zr", "Sc", "Sc"],
  "fractional_positions": [[0.1217, 0.1250, 0.4967], [0.3750, 0.8783, 0.0033], [0.6283, 0.6250, 0.5033], [0.8750, 0.3717, 0.9967], [0.2500, 0.7500, 0.5000], [0.5000, 0.5000, 0.0000], [0.0000, 0.0000, 0.0000], [0.7500, 0.2500, 0.5000]],
  "rho_g_cm3": 2.50,
  "magnetic_moment_mub_per_fu": 0.0
}


#P (21.0 kJ/mol of atoms below the next structure)


#P
{
  "formula": "KZrSc",
  "functional": "PBE",
  "state": "optimized geometry",
  "lattice_angstrom": [[3.2979, 0.0000, 0.0000], [-1.6141, 5.2789, 0.0000], [-1.5840, -0.8953, 12.3406]],
  "species": ["K", "K", "Zr", "Zr", "Sc", "Sc"],
  "fractional_positions": [[0.0000, 0.0000, 0.0000], [0.0464, 0.4645, 0.7289], [0.4192, 0.4690, 0.4119], [0.6360, 0.9954, 0.3170], [0.2067, 0.9450, 0.5198], [0.8485, 0.5193, 0.2091]],
  "rho_g_cm3": 2.71,
  "magnetic_moment_mub_per_fu": 0.0
}


#Q
{
  "formula": "KZrSc",
  "functional": "PBE",
  "state": "optimized geometry",
  "lattice_angstrom": [[3.3350, 0.0000, 0.0000], [-1.6675, 2.8882, 0.0000], [0.0000, 0.0000, 9.4342]],
  "species": ["K", "Zr", "Sc"],
  "fractional_positions": [[0.0000, 0.0000, 0.0000], [0.3333, 0.6667, 0.6331], [0.6667, 0.3333, 0.3787]],
  "rho_g_cm3": 3.20,
  "magnetic_moment_mub_per_fu": 0.0
}


#P (10.7 kJ/mol of atoms below the next structure)


#P
{
  "formula": "KZrSc",
  "functional": "PBE",
  "state": "optimized geometry",
  "lattice_angstrom": [[3.3823, 0.0000, 0.0000], [-0.0056, 5.2531, 0.0000], [-1.3880, -0.6690, 12.8064]],
  "species": ["K", "K", "Zr", "Zr", "Sc", "Sc"],
  "fractional_positions": [[0.1470, 0.2349, 0.3553], [0.8530, 0.7651, 0.6447], [0.4659, 0.8045, 0.9159], [0.5341, 0.1955, 0.0841], [0.0440, 0.6877, 0.1070], [0.9560, 0.3123, 0.8930]],
  "rho_g_cm3": 2.56,
  "magnetic_moment_mub_per_fu": 0.0
}


#Q
{
  "formula": "KZrSc",
  "functional": "PBE",
  "state": "optimized geometry",
  "lattice_angstrom": [[5.1384, 0.0000, 0.0000], [0.0000, 6.4176, 0.0000], [0.0000, 0.0000, 11.3682]],
  "species": ["K", "K", "K", "K", "Zr", "Zr", "Zr", "Zr", "Sc", "Sc", "Sc", "Sc"],
  "fractional_positions": [[0.2465, 0.2500, 0.1612], [0.2535, 0.7500, 0.6612], [0.7465, 0.2500, 0.3388], [0.7535, 0.7500, 0.8388], [0.2466, 0.2500, 0.8021], [0.2534, 0.7500, 0.3021], [0.7466, 0.2500, 0.6979], [0.7534, 0.7500, 0.1979], [0.2465, 0.2500, 0.5385], [0.2535, 0.7500, 0.0385], [0.7465, 0.2500, 0.9615], [0.7535, 0.7500, 0.4615]],
  "rho_g_cm3": 3.11,
  "magnetic_moment_mub_per_fu": 0.0
}


#R
{
  "formula": "KZrSc",
  "functional": "PBE",
  "state": "optimized geometry",
  "lattice_angstrom": [[5.8982, 0.0000, 0.0000], [-2.9491, 5.1080, 0.0000], [0.0000, 0.0000, 2.9769]],
  "species": ["K", "Zr", "Sc"],
  "fractional_positions": [[0.0000, 0.0000, 0.0000], [0.6667, 0.3333, 0.5000], [0.3333, 0.6667, 0.5000]],
  "rho_g_cm3": 3.25,
  "magnetic_moment_mub_per_fu": 0.4
}


#S
{
  "formula": "KZrSc",
  "functional": "PBE",
  "state": "optimized geometry",
  "lattice_angstrom": [[0.0000, 3.6397, 3.6397], [3.6397, 0.0000, 3.6397], [3.6397, 3.6397, 0.0000]],
  "species": ["K", "Zr", "Sc"],
  "fractional_positions": [[0.0000, 0.0000, 0.0000], [0.7500, 0.7500, 0.7500], [0.2500, 0.2500, 0.2500]],
  "rho_g_cm3": 3.02,
  "magnetic_moment_mub_per_fu": 0.4
}


#P (42.9 kJ/mol of atoms below the next structure)


#P
{
  "formula": "KZrSc",
  "functional": "PBE",
  "state": "optimized geometry",
  "lattice_angstrom": [[3.9175, 0.0000, 0.0000], [0.0000, 3.9175, 0.0000], [0.0000, 0.0000, 14.5138]],
  "species": ["K", "K", "Zr", "Zr", "Sc", "Sc"],
  "fractional_positions": [[0.2500, 0.2500, 0.1350], [0.7500, 0.7500, 0.8650], [0.2500, 0.2500, 0.6670], [0.7500, 0.7500, 0.3330], [0.2500, 0.7500, 0.5000], [0.7500, 0.2500, 0.5000]],
  "rho_g_cm3": 2.61,
  "magnetic_moment_mub_per_fu": 0.8
}


#Q
{
  "formula": "KZrSc",
  "functional": "PBE",
  "state": "optimized geometry",
  "lattice_angstrom": [[5.8445, 0.0000, 0.0000], [-2.9223, 5.0615, 0.0000], [0.0000, 0.0000, 6.1468]],
  "species": ["K", "K", "Zr", "Zr", "Sc", "Sc"],
  "fractional_positions": [[0.0000, 0.0000, 0.0000], [0.0000, 0.0000, 0.5000], [0.3333, 0.6667, 0.2500], [0.6667, 0.3333, 0.7500], [0.3333, 0.6667, 0.7500], [0.6667, 0.3333, 0.2500]],
  "rho_g_cm3": 3.20,
  "magnetic_moment_mub_per_fu": 2.0
}


#P (13.4 kJ/mol of atoms below the next structure)


#P
{
  "formula": "KZrSc",
  "functional": "PBE",
  "state": "optimized geometry",
  "lattice_angstrom": [[3.4402, 0.0000, 0.0000], [-0.0014, 5.2465, 0.0000], [-0.1869, -2.0526, 12.8741]],
  "species": ["K", "K", "Zr", "Zr", "Sc", "Sc"],
  "fractional_positions": [[0.0000, 0.0000, 0.0000], [0.4599, 0.6156, 0.2866], [0.4922, 0.9073, 0.7329], [0.9820, 0.7063, 0.5538], [0.4821, 0.2033, 0.5463], [0.9931, 0.4104, 0.7404]],
  "rho_g_cm3": 2.51,
  "magnetic_moment_mub_per_fu": 0.0
}


#Q
{
  "formula": "KZrSc",
  "functional": "PBE",
  "state": "optimized geometry",
  "lattice_angstrom": [[3.3330, 0.0000, 0.0000], [0.0000, 5.1265, 0.0000], [-1.5216, 0.0000, 12.4918]],
  "species": ["K", "K", "Zr", "Zr", "Sc", "Sc"],
  "fractional_positions": [[0.0000, 0.0000, 0.0000], [0.3299, 0.5000, 0.7270], [0.1384, 0.0000, 0.3093], [0.1880, 0.5000, 0.4177], [0.5940, 0.5000, 0.2112], [0.7324, 0.0000, 0.5158]],
  "rho_g_cm3": 2.73,
  "magnetic_moment_mub_per_fu": 0.3
}


#Q (5.4 kJ/mol of atoms below the next structure)